ErGeAu: relaxed, PBE-GGA.

Cell: 4.461 4.461 7.239 Å, 90.00 90.00 120.00°
Element x y z (fractional)
Au (0.667, 0.333, 0.294)
Au (0.333, 0.667, 0.794)
Er (0.000, 0.000, 0.000)
Er (0.000, 0.000, 0.500)
Ge (0.333, 0.667, 0.207)
Ge (0.667, 0.333, 0.707)

Computed properties:
* final energy: -4.9690 eV/atom
* size of the total moment: 0.000 μB per atom
* V: 20.79 Å³ per atom